This record from Alexandria via LeMat-Bulk describes a PBEsol-optimized structure of ScCu2W. The functional is SCAN.

Summary:
The total magnetic moment is 0.00 μB/cell. The energy above the most stable polymorph in this dataset is 0.000 eV per atom. The crystal system is tetragonal. The raw total energy is -28.4336 eV/atom. The calculation puts the formation energy at 0.147 eV/atom. The symmetry is P4mm (99).

a = 2.761 Å, b = 2.761 Å, c = 7.647 Å
α = 90.00°, β = 90.00°, γ = 90.00°
Fractional coordinates of all 4 atoms:
Cu 0.000 0.000 0.017
Cu 0.500 0.500 0.219
W 0.500 0.500 0.780
Sc 0.000 0.000 0.483